(1)
KInAg4: optimized geometry, PBE.

abc: 4.274 8.932 8.453
angles: 90.00 90.00 90.00
Element x y z (fractional)
In 0.000 0.233 0.750
Ag 0.500 0.788 0.461
Ag 0.500 0.212 0.961
K 0.000 0.373 0.250
Ag 0.000 0.000 0.500
Ag 0.500 0.212 0.539
Ag 0.500 0.950 0.750
Ag 0.000 0.000 0.000
Ag 0.500 0.788 0.039
Ag 0.500 0.050 0.250
In 0.000 0.767 0.250
K 0.000 0.627 0.750

## Properties
M_tot: 0.0 μB per formula unit
formation energy from the elements: 1.67 kcal/mol of atoms
D(E_F): 3.54 states/eV/cell
offset from the most stable computed form: 38 meV per atom

(2)
Rb3Te4Au2: optimized geometry, PBE.

abc: 5.155 7.149 9.762
angles: 104.38 90.00 111.13
Element x y z (fractional)
Te 0.277 0.554 0.947
Au 0.306 0.613 0.664
Au 0.694 0.387 0.336
Rb 0.394 0.788 0.326
Rb 0.000 0.000 0.000
Te 0.871 0.742 0.601
Rb 0.606 0.212 0.674
Te 0.129 0.258 0.399
Te 0.723 0.446 0.053

## Properties
M_tot: 0.0 μB per formula unit
D(E_F): 3.38 states/eV/cell
formation energy without anion corrections: -4.90 eV/f.u.

(3)
MgSnAs2: optimized geometry, PBE.

abc: 4.116 4.116 6.775
angles: 72.32 72.32 60.00
Element x y z (fractional)
Mg 0.669 0.669 0.994
Sn 0.499 0.499 0.502
As 0.074 0.074 0.778
As 0.258 0.258 0.226

## Properties
M_tot: 0.0 μB per formula unit
formation energy from the elements: -2.20 kcal/mol of atoms
D(E_F): 1.79 states/eV/cell
offset from the most stable computed form: 223 meV per atom

(4)
Zn2Si2Os: optimized geometry, PBE.

abc: 6.257 6.257 3.789
angles: 90.00 90.00 90.00
Element x y z (fractional)
Si 0.633 0.133 0.000
Si 0.133 0.367 0.000
Zn 0.173 0.673 0.500
Zn 0.327 0.173 0.500
Zn 0.673 0.827 0.500
Si 0.367 0.867 0.000
Os 0.500 0.500 0.000
Zn 0.827 0.327 0.500
Si 0.867 0.633 0.000
Os 0.000 0.000 0.000

## Properties
M_tot: 0.0 μB per formula unit
D(E_F): 4.82 states/eV/cell
formation energy without anion corrections: 0.65 eV/f.u.

(5)
KLa2Cd: optimized geometry, PBE.

abc: 6.137 6.137 7.491
angles: 81.47 81.47 33.50
Element x y z (fractional)
Cd 0.492 0.492 0.547
La 0.753 0.753 0.758
La 0.016 0.016 0.917
K 0.239 0.239 0.278

## Properties
M_tot: 0.0 μB per formula unit
formation energy from the elements: 4.24 kcal/mol of atoms
D(E_F): 4.16 states/eV/cell

(6)
In3SeN: optimized geometry, PBE.

abc: 5.548 5.548 5.548
angles: 90.00 90.00 90.00
Element x y z (fractional)
N 0.500 0.500 0.500
In 0.000 0.500 0.000
In 0.500 0.000 0.000
Se 0.000 0.000 0.000
In 0.000 0.000 0.500

## Properties
M_tot: 0.0 μB per formula unit
D(E_F): 7.75 states/eV/cell
offset from the most stable computed form: 1104 meV per atom
formation energy without anion corrections: 7.03 eV/f.u.

(7)
Dy7ScCd4: optimized geometry, PBE.

abc: 5.617 8.945 7.848
angles: 70.18 69.03 71.70
Element x y z (fractional)
Cd 0.680 0.656 0.985
Cd 0.456 0.711 0.378
Cd 0.544 0.289 0.622
Dy 0.204 0.119 0.472
Dy 0.744 0.298 0.214
Dy 0.928 0.413 0.731
Sc 0.000 0.000 0.000
Cd 0.320 0.344 0.015
Dy 0.072 0.587 0.269
Dy 0.256 0.702 0.786
Dy 0.796 0.881 0.528
Dy 0.500 0.000 0.000

## Properties
M_tot: 0.0 μB per formula unit
formation energy from the elements: -0.01 kcal/mol of atoms
D(E_F): 13.03 states/eV/cell

(8)
Pu3Tl4CuO12: optimized geometry, PBE.

abc: 7.445 7.445 7.445
angles: 109.47 109.47 109.47
Site moments in Bohr magnetons follow the coordinates.
Element x y z (fractional)
O 0.000 0.276 0.276  0.12
O 0.724 0.724 0.000  0.12
O 0.500 0.250 0.750  0.12
O 0.250 0.500 0.750  0.12
O 0.500 0.750 0.250  0.12
O 0.000 0.724 0.724  0.12
O 0.250 0.750 0.500  0.12
O 0.750 0.250 0.500  0.12
O 0.750 0.500 0.250  0.12
Tl 0.500 0.500 0.500  0.00
O 0.276 0.276 0.000  0.12
Pu 0.500 0.500 0.000  -2.23
Pu 0.000 0.500 0.500  -2.23
Cu 0.000 0.000 0.000  0.24
O 0.276 0.000 0.276  0.12
Pu 0.500 0.000 0.500  -2.23
Tl 0.000 0.000 0.500  0.00
Tl 0.500 0.000 0.000  0.00
O 0.724 0.000 0.724  0.12
Tl 0.000 0.500 0.000  0.00

## Properties
M_tot: 4.9 μB per formula unit
D(E_F): 10.30 states/eV/cell
formation energy without anion corrections: -35.54 eV/f.u.